Material: Li4Fe3OF11
Method: DFT, GGA+U
State: relaxed

Output
spin magnetization = 14.946 μB per cell
final energy = -5.198 eV/atom

a = 5.746 Å, b = 5.942 Å, c = 6.385 Å
α = 99.35°, β = 100.05°, γ = 97.16°
Sites, in units of the cell vectors:
Li 0.000 0.000 0.000
Li 0.195 0.275 0.606
Li 0.466 0.799 0.765
Li 0.716 0.298 0.832
Fe 0.287 0.529 0.104
Fe 0.570 0.047 0.319
Fe 0.867 0.675 0.463
O 0.548 0.718 0.318
F 0.057 0.284 0.872
F 0.180 0.609 0.584
F 0.271 0.839 0.017
F 0.311 0.251 0.248
F 0.458 0.072 0.604
F 0.485 0.482 0.890
F 0.696 0.094 0.063
F 0.748 0.358 0.489
F 0.806 0.787 0.748
F 0.945 0.002 0.432
F 0.975 0.579 0.184